8
Lattice="3.6517 2.1083 3.5744 -3.6517 2.1083 3.5744 0.0000 -4.2166 3.5744" Properties=species:S:1:pos:R:3 comment="CePd6Pb, relaxed, DFT PBE-GGA" formation_energy_ev_per_atom=-0.166 e_above_lowest_polymorph_ev_per_fu=3.11 m_tot_mub_per_cell=0.00 pbc="T T T"
Ce 0.0000 0.0000 0.0000
Pd 0.0000 -1.5959 3.0521
Pd -1.3821 0.7980 3.0521
Pd -1.3821 -0.7980 7.6711
Pd 1.3821 0.7980 3.0521
Pd 1.3821 -0.7980 7.6711
Pd 0.0000 1.5959 7.6711
Pb 0.0000 0.0000 5.3616